The following is a PBE calculation of an optimized crystal structure of YNbW3, from Alexandria.

Results
Space group: Pm-3m
Crystal system: cubic
VASP energy, eV per atom: -8.18
ΔE_f, kcal/mol of atoms: 66.94

a = 4.744 Å, b = 4.744 Å, c = 4.744 Å
α = 90.00°, β = 90.00°, γ = 90.00°
Positions (direct):
Y 0.000 0.000 0.000
Nb 0.500 0.500 0.500
W 0.000 0.000 0.500
W 0.000 0.500 0.000
W 0.500 0.000 0.000